Crystalline NaTl6Pd5 at its relaxed geometry. Source: the Alexandria database, functional PBE.

Properties
E_form (meV/atom): -86.1
DOS at the Fermi energy (states/eV/f.u.): 5.13
Density (g/cm³): 11.3
SG: C2/m (12)
Total energy (eV/cell): -42.51

Lattice parameters (Å, degrees): 8.6823 5.5663 6.3704 64.09 81.88 71.13
With the nearest neighbours (Å) after each atom.
Positions (direct):
Pd1 0.0000 0.3047 0.3906  6 Tl 2.82-3.12, 2 Pd 3.05
Tl1 0.7162 0.0900 0.3632  5 Pd 2.82-3.12
Pd2 0.5000 0.5000 0.0000  6 Tl 2.82-2.92, 4 Pd 3.12
Pd3 0.5000 0.1227 0.7547  3 Pd 2.81-3.12, 6 Tl 2.85-2.94
Tl2 0.2203 0.3180 0.0000  5 Pd 2.87-2.92, 1 Na 3.00
Tl3 0.2838 0.5468 0.3632  5 Pd 2.82-3.12
Tl4 0.7797 0.6820 0.0000  5 Pd 2.87-2.92, 1 Na 3.00
Pd4 0.5000 0.8773 0.2453  3 Pd 2.81-3.12, 6 Tl 2.85-2.94
Tl5 0.2838 0.9100 0.6368  5 Pd 2.82-3.12
Tl6 0.7162 0.4532 0.6368  5 Pd 2.82-3.12
Na1 0.0000 0.0000 0.0000  6 Tl 3.00-3.21
Pd5 0.0000 0.6953 0.6094  6 Tl 2.82-3.12, 2 Pd 3.05